Entry 1:
# Ba6SrIr (PBE-GGA, relaxed)
data_Ba6SrIr
_cell_length_a 15.504
_cell_length_b 7.831
_cell_length_c 15.342
_cell_angle_alpha 90.00
_cell_angle_beta 101.99
_cell_angle_gamma 90.00
_space_group_name_H-M_alt 'C 1 2/c 1'
_space_group_IT_number 15
loop_
_space_group_symop_operation_xyz
'x,y,z'
'-x,-y,-z'
'-x,y,-z+1/2'
'x,-y,z+1/2'
'x+1/2,y+1/2,z'
'-x+1/2,-y+1/2,-z'
'-x+1/2,y+1/2,-z+1/2'
'x+1/2,-y+1/2,z+1/2'
loop_
_atom_site_label
_atom_site_type_symbol
_atom_site_fract_x
_atom_site_fract_y
_atom_site_fract_z
_atom_site_occupancy
Ba1 Ba 0.079 0.094 0.394 1
Ba2 Ba 0.147 0.431 0.035 1
Ba3 Ba 0.216 0.087 0.671 1
Sr1 Sr 0.000 0.408 0.750 1
Ir1 Ir 0.250 0.250 0.500 1
# Raw total energy ... -92.05 eV per cell

***

Entry 2:
# BaSrIr2 (PBE-GGA, relaxed)
data_BaSrIr2
_cell_length_a 11.131
_cell_length_b 4.486
_cell_length_c 7.579
_cell_angle_alpha 90.00
_cell_angle_beta 129.62
_cell_angle_gamma 90.00
_space_group_name_H-M_alt 'C 1 2/m 1'
_space_group_IT_number 12
loop_
_space_group_symop_operation_xyz
'x,y,z'
'-x,-y,-z'
'-x,y,-z'
'x,-y,z'
'x+1/2,y+1/2,z'
'-x+1/2,-y+1/2,-z'
'-x+1/2,y+1/2,-z'
'x+1/2,-y+1/2,z'
loop_
_atom_site_label
_atom_site_type_symbol
_atom_site_fract_x
_atom_site_fract_y
_atom_site_fract_z
_atom_site_occupancy
Ba1 Ba 0.000 0.000 0.000 1
Sr1 Sr 0.000 0.500 0.500 1
Ir1 Ir 0.247 0.500 0.443 1
# Raw total energy ... -43.39 eV per cell
# Relative energy among the computed polymorphs ... 124 meV per atom

***

Entry 3:
# Ba3SrIr (PBE-GGA, relaxed)
data_Ba3SrIr
_cell_length_a 6.278
_cell_length_b 6.278
_cell_length_c 6.278
_cell_angle_alpha 90.00
_cell_angle_beta 90.00
_cell_angle_gamma 90.00
_space_group_name_H-M_alt 'P m -3 m'
_space_group_IT_number 221
_space_group_name_Hall '-P 4 2 3'
loop_
_atom_site_label
_atom_site_type_symbol
_atom_site_fract_x
_atom_site_fract_y
_atom_site_fract_z
_atom_site_occupancy
Ba1 Ba 0.000 0.000 0.500 1
Sr1 Sr 0.500 0.500 0.500 1
Ir1 Ir 0.000 0.000 0.000 1
# Raw total energy ... -16.63 eV per cell
# Relative energy among the computed polymorphs ... 86 meV per atom

***

Entry 4:
# BaSr2Ir (PBE-GGA, relaxed)
data_BaSr2Ir
_cell_length_a 6.890
_cell_length_b 11.507
_cell_length_c 3.979
_cell_angle_alpha 90.00
_cell_angle_beta 119.40
_cell_angle_gamma 90.00
_space_group_name_H-M_alt 'C 1 2/m 1'
_space_group_IT_number 12
loop_
_space_group_symop_operation_xyz
'x,y,z'
'-x,-y,-z'
'-x,y,-z'
'x,-y,z'
'x+1/2,y+1/2,z'
'-x+1/2,-y+1/2,-z'
'-x+1/2,y+1/2,-z'
'x+1/2,-y+1/2,z'
loop_
_atom_site_label
_atom_site_type_symbol
_atom_site_fract_x
_atom_site_fract_y
_atom_site_fract_z
_atom_site_occupancy
Ba1 Ba 0.000 0.000 0.000 1
Sr1 Sr 0.250 0.250 0.500 1
Ir1 Ir 0.000 0.500 0.000 1
# Raw total energy ... -24.22 eV per cell
# Relative energy among the computed polymorphs ... 667 meV per atom

***

Entry 5:
# BaSr2Ir (PBE-GGA, relaxed)
data_BaSr2Ir
_cell_length_a 3.829
_cell_length_b 5.387
_cell_length_c 15.651
_cell_angle_alpha 90.00
_cell_angle_beta 90.00
_cell_angle_gamma 90.00
_space_group_name_H-M_alt 'I m m 2'
_space_group_IT_number 44
loop_
_space_group_symop_operation_xyz
'x,y,z'
'-x,-y,z'
'-x,y,z'
'x,-y,z'
'x+1/2,y+1/2,z+1/2'
'-x+1/2,-y+1/2,z+1/2'
'-x+1/2,y+1/2,z+1/2'
'x+1/2,-y+1/2,z+1/2'
loop_
_atom_site_label
_atom_site_type_symbol
_atom_site_fract_x
_atom_site_fract_y
_atom_site_fract_z
_atom_site_occupancy
Ba1 Ba 0.000 0.000 0.000 1
Sr1 Sr 0.000 0.000 0.309 1
Sr2 Sr 0.000 0.500 0.157 1
Ir1 Ir 0.000 0.500 0.657 1
# Raw total energy ... -28.40 eV per cell
# Relative energy among the computed polymorphs ... 144 meV per atom

***

Entry 6:
# BaSr2Ir (PBE-GGA, relaxed)
data_BaSr2Ir
_cell_length_a 3.897
_cell_length_b 5.838
_cell_length_c 13.876
_cell_angle_alpha 90.00
_cell_angle_beta 90.00
_cell_angle_gamma 90.00
_space_group_name_H-M_alt 'I m m m'
_space_group_IT_number 71
_space_group_name_Hall '-I 2 2'
loop_
_atom_site_label
_atom_site_type_symbol
_atom_site_fract_x
_atom_site_fract_y
_atom_site_fract_z
_atom_site_occupancy
Ba1 Ba 0.000 0.000 0.000 1
Sr1 Sr 0.000 0.500 0.165 1
Ir1 Ir 0.000 0.000 0.500 1
# Raw total energy ... -28.38 eV per cell
# Relative energy among the computed polymorphs ... 148 meV per atom

***

Entry 7:
# Ba3Sr3Ir2 (PBE-GGA, relaxed)
data_Ba3Sr3Ir2
_cell_length_a 16.2428
_cell_length_b 16.2428
_cell_length_c 20.2578
_cell_angle_alpha 90.00
_cell_angle_beta 90.00
_cell_angle_gamma 120.00
_space_group_name_H-M_alt 'R -3'
_space_group_IT_number 148
_space_group_name_Hall '-R 3'
loop_
_atom_site_label
_atom_site_type_symbol
_atom_site_fract_x
_atom_site_fract_y
_atom_site_fract_z
_atom_site_occupancy
Ba1 Ba 0.0109 0.1611 0.1646 1
Ba2 Ba 0.0505 0.2725 0.4579 1
Sr1 Sr 0.0266 0.2593 0.9679 1
Sr2 Sr 0.0357 0.1646 0.6620 1
Ir1 Ir 0.0000 0.0000 0.2502 1
Ir2 Ir 0.0010 0.4933 0.7513 1
# Raw total energy ... -348.97 eV per cell

***

Entry 8:
# BaSr2Ir (PBE-GGA, relaxed)
data_BaSr2Ir
_cell_length_a 7.962
_cell_length_b 7.962
_cell_length_c 7.962
_cell_angle_alpha 90.00
_cell_angle_beta 90.00
_cell_angle_gamma 90.00
_space_group_name_H-M_alt 'F m -3 m'
_space_group_IT_number 225
_space_group_name_Hall '-F 4 2 3'
loop_
_atom_site_label
_atom_site_type_symbol
_atom_site_fract_x
_atom_site_fract_y
_atom_site_fract_z
_atom_site_occupancy
Ba1 Ba 0.000 0.000 0.000 1
Sr1 Sr 0.250 0.250 0.250 1
Ir1 Ir 0.000 0.000 0.500 1
# Raw total energy ... -52.21 eV per cell
# Relative energy among the computed polymorphs ... 431 meV per atom

***

Entry 9:
# Ba8Sr6Ir (PBE-GGA, relaxed)
data_Ba8Sr6Ir
_cell_length_a 11.6917
_cell_length_b 11.6917
_cell_length_c 21.6425
_cell_angle_alpha 90.00
_cell_angle_beta 90.00
_cell_angle_gamma 120.00
_space_group_name_H-M_alt 'R -3'
_space_group_IT_number 148
_space_group_name_Hall '-R 3'
loop_
_atom_site_label
_atom_site_type_symbol
_atom_site_fract_x
_atom_site_fract_y
_atom_site_fract_z
_atom_site_occupancy
Ba1 Ba 0.0000 0.0000 0.2458 1
Ba2 Ba 0.0456 0.8115 0.4194 1
Sr1 Sr 0.0512 0.8165 0.9178 1
Ir1 Ir 0.0000 0.0000 0.5000 1
# Raw total energy ... -105.55 eV per cell

***

Entry 10:
# BaSr2Ir (PBE-GGA, relaxed)
data_BaSr2Ir
_cell_length_a 4.358
_cell_length_b 14.166
_cell_length_c 10.035
_cell_angle_alpha 90.00
_cell_angle_beta 90.00
_cell_angle_gamma 90.00
_space_group_name_H-M_alt 'C m c m'
_space_group_IT_number 63
_space_group_name_Hall '-C 2c 2'
loop_
_atom_site_label
_atom_site_type_symbol
_atom_site_fract_x
_atom_site_fract_y
_atom_site_fract_z
_atom_site_occupancy
Ba1 Ba 0.000 0.085 0.250 1
Sr1 Sr 0.000 0.342 0.072 1
Ir1 Ir 0.000 0.258 0.750 1
# Raw total energy ... -59.12 eV per cell
# Relative energy among the computed polymorphs ... 0 meV per atom

***

Entry 11:
# Ba3SrIr (PBE-GGA, relaxed)
data_Ba3SrIr
_cell_length_a 7.401
_cell_length_b 7.917
_cell_length_c 8.459
_cell_angle_alpha 90.00
_cell_angle_beta 105.39
_cell_angle_gamma 90.00
_space_group_name_H-M_alt 'P 1 21/m 1'
_space_group_IT_number 11
loop_
_space_group_symop_operation_xyz
'x,y,z'
'-x,-y,-z'
'-x,y+1/2,-z'
'x,-y+1/2,z'
loop_
_atom_site_label
_atom_site_type_symbol
_atom_site_fract_x
_atom_site_fract_y
_atom_site_fract_z
_atom_site_occupancy
Ba1 Ba 0.000 0.001 0.233 1
Ba2 Ba 0.466 0.250 0.108 1
Sr1 Sr 0.494 0.250 0.630 1
Ir1 Ir 0.214 0.750 0.053 1
# Raw total energy ... -33.60 eV per cell
# Relative energy among the computed polymorphs ... 52 meV per atom

***

Entry 12:
# BaSrIr4 (PBE-GGA, relaxed)
data_BaSrIr4
_cell_length_a 7.850
_cell_length_b 7.850
_cell_length_c 7.850
_cell_angle_alpha 90.00
_cell_angle_beta 90.00
_cell_angle_gamma 90.00
_space_group_name_H-M_alt 'F -4 3 m'
_space_group_IT_number 216
_space_group_name_Hall 'F -4 2 3'
loop_
_atom_site_label
_atom_site_type_symbol
_atom_site_fract_x
_atom_site_fract_y
_atom_site_fract_z
_atom_site_occupancy
Ba1 Ba 0.000 0.000 0.000 1
Sr1 Sr 0.250 0.250 0.250 1
Ir1 Ir 0.125 0.125 0.625 1
# Raw total energy ... -159.09 eV per cell